Record 1
DFT (PBE-GGA) results for a relaxed structure of NdGaO3.

abc: 6.560 5.877 7.993
angles: 90.00 101.22 90.00
Fractional positions:
Nd: 0.906 0.653 0.270
Nd: 0.594 0.153 0.230
Nd: 0.094 0.347 0.730
Nd: 0.406 0.847 0.770
Ga: 0.333 0.679 0.139
Ga: 0.167 0.179 0.361
Ga: 0.667 0.321 0.861
Ga: 0.833 0.821 0.639
O: 0.081 0.706 0.589
O: 0.419 0.206 0.911
O: 0.919 0.294 0.411
O: 0.581 0.794 0.089
O: 0.819 0.092 0.763
O: 0.681 0.592 0.737
O: 0.181 0.908 0.237
O: 0.319 0.408 0.263
O: 0.688 0.848 0.419
O: 0.812 0.348 0.081
O: 0.312 0.152 0.581
O: 0.188 0.652 0.919

E_form (uncorrected): -2.463 eV per atom
Total moment: 0.00 μB/f.u.

***

Record 2
DFT (PBE-GGA) results for a relaxed structure of NdGaO3.

abc: 5.471 5.613 7.801
angles: 90.00 90.00 90.00
Fractional positions:
Nd: 0.987 0.448 0.750
Nd: 0.013 0.552 0.250
Nd: 0.513 0.948 0.750
Nd: 0.487 0.052 0.250
Ga: 0.500 0.500 0.500
Ga: 0.500 0.500 0.000
Ga: 0.000 0.000 0.500
Ga: 0.000 0.000 0.000
O: 0.708 0.207 0.953
O: 0.292 0.793 0.453
O: 0.792 0.707 0.953
O: 0.208 0.293 0.453
O: 0.708 0.207 0.547
O: 0.292 0.793 0.047
O: 0.792 0.707 0.547
O: 0.208 0.293 0.047
O: 0.913 0.977 0.250
O: 0.087 0.023 0.750
O: 0.587 0.477 0.250
O: 0.413 0.523 0.750

E_form (uncorrected): -2.635 eV per atom
Total moment: 0.00 μB/f.u.

***

Record 3
DFT (PBE-GGA) results for a relaxed structure of NdGaO3.

abc: 3.881 3.881 3.881
angles: 90.00 90.00 90.00
Fractional positions:
Nd: 0.500 0.500 0.500
O: 0.000 0.500 0.000
O: 0.000 0.000 0.500
O: 0.500 0.000 0.000
Ga: 0.000 0.000 0.000

E_form (uncorrected): -2.517 eV per atom
Total moment: 0.00 μB/f.u.

***

Record 4
DFT (PBE-GGA) results for a relaxed structure of NdGaO3.

abc: 4.616 4.616 4.616
angles: 90.00 90.00 90.00
Fractional positions:
Nd: 0.500 0.500 0.500
Ga: 0.000 0.000 0.000
O: 0.000 0.500 0.500
O: 0.500 0.000 0.500
O: 0.500 0.500 0.000

E_form (uncorrected): -1.192 eV per atom
Total moment: 2.01 μB/f.u.

***

Record 5
DFT (PBE-GGA) results for a relaxed structure of NdGaO3.

abc: 5.864 7.194 7.194
angles: 84.62 80.35 80.35
Fractional positions:
Nd: 0.250 0.902 0.098
Nd: 0.750 0.098 0.902
Nd: 0.250 0.329 0.671
Nd: 0.750 0.671 0.329
Ga: 0.735 0.615 0.805
Ga: 0.765 0.195 0.385
Ga: 0.265 0.385 0.195
Ga: 0.235 0.805 0.615
O: 0.647 0.778 0.997
O: 0.853 0.003 0.222
O: 0.353 0.222 0.003
O: 0.147 0.997 0.778
O: 0.885 0.378 0.868
O: 0.615 0.132 0.622
O: 0.115 0.622 0.132
O: 0.385 0.868 0.378
O: 0.474 0.601 0.682
O: 0.026 0.318 0.399
O: 0.526 0.399 0.318
O: 0.974 0.682 0.601

E_form (uncorrected): -2.618 eV per atom
Total moment: 0.00 μB/f.u.

***

Record 6
DFT (PBE-GGA) results for a relaxed structure of NdGa2OsO8.

abc: 4.823 4.823 6.824
angles: 83.68 83.68 81.36
Fractional positions:
Nd: 0.000 0.000 0.500
Ga: 0.459 0.459 0.716
Ga: 0.541 0.541 0.284
Os: 0.000 0.000 0.000
O: 0.215 0.793 0.209
O: 0.749 0.750 0.049
O: 0.794 0.216 0.209
O: 0.785 0.207 0.791
O: 0.251 0.250 0.951
O: 0.206 0.784 0.791
O: 0.675 0.675 0.504
O: 0.325 0.325 0.496

E_form (uncorrected): -1.703 eV per atom
Total moment: 0.78 μB/f.u.

***

Record 7
DFT (PBE-GGA) results for a relaxed structure of PmNd2GaO.

abc: 4.860 4.916 4.916
angles: 90.00 90.00 90.00
Fractional positions:
Pm: 0.500 0.000 0.000
Nd: 0.000 0.000 0.500
Nd: 0.000 0.500 0.000
Ga: 0.500 0.500 0.500
O: 0.000 0.000 0.000

E_form (uncorrected): -1.371 eV per atom
Total moment: 0.00 μB/f.u.

***

Record 8
DFT (PBE-GGA) results for a relaxed structure of Pm2NdGaO.

abc: 4.917 4.864 4.864
angles: 90.00 90.00 90.00
Fractional positions:
Pm: 0.000 0.000 0.500
Pm: 0.000 0.500 0.000
Nd: 0.500 0.000 0.000
Ga: 0.500 0.500 0.500
O: 0.000 0.000 0.000

E_form (uncorrected): -1.379 eV per atom
Total moment: 0.00 μB/f.u.

***

Record 9
DFT (PBE-GGA) results for a relaxed structure of Pr4Nd2Ga3O2.

abc: 4.873 4.873 12.493
angles: 101.25 101.25 90.00
Fractional positions:
Pr: 0.416 0.916 0.833
Pr: 0.916 0.416 0.833
Pr: 0.084 0.584 0.167
Pr: 0.584 0.084 0.167
Nd: 0.297 0.297 0.594
Nd: 0.703 0.703 0.406
Ga: 0.000 0.000 0.000
Ga: 0.170 0.170 0.340
Ga: 0.830 0.830 0.660
O: 0.396 0.396 0.792
O: 0.604 0.604 0.208

E_form (uncorrected): -1.261 eV per atom
Total moment: 0.00 μB/f.u.

***

Record 10
DFT (PBE-GGA) results for a relaxed structure of Pr2NdGaO.

abc: 4.908 4.962 4.962
angles: 90.00 90.00 90.00
Fractional positions:
Pr: 0.000 0.000 0.500
Pr: 0.000 0.500 0.000
Nd: 0.500 0.000 0.000
Ga: 0.500 0.500 0.500
O: 0.000 0.000 0.000

E_form (uncorrected): -1.350 eV per atom
Total moment: 0.00 μB/f.u.

***

Record 11
DFT (PBE-GGA) results for a relaxed structure of Nd2GaPtO6.

abc: 5.529 5.864 8.130
angles: 90.00 90.00 90.00
Fractional positions:
Nd: 0.500 0.795 0.215
Nd: 0.000 0.205 0.715
Nd: 0.500 0.795 0.785
Nd: 0.000 0.205 0.285
Ga: 0.500 0.242 0.500
Ga: 0.000 0.758 0.000
Pt: 0.000 0.719 0.500
Pt: 0.500 0.281 0.000
O: 0.500 0.204 0.262
O: 0.500 0.204 0.738
O: 0.000 0.796 0.238
O: 0.000 0.796 0.762
O: 0.239 0.989 0.500
O: 0.761 0.989 0.500
O: 0.224 0.436 0.500
O: 0.776 0.436 0.500
O: 0.724 0.564 0.000
O: 0.276 0.564 0.000
O: 0.261 0.011 0.000
O: 0.739 0.011 0.000

E_form (uncorrected): -1.997 eV per atom
Total moment: 0.00 μB/f.u.

***

Record 12
DFT (PBE-GGA) results for a relaxed structure of NdPuGaO6.

abc: 5.339 5.339 10.357
angles: 90.00 90.00 120.00
Fractional positions:
Nd: 0.000 0.000 0.000
Nd: 0.000 0.000 0.500
Pu: 0.333 0.667 0.250
Pu: 0.667 0.333 0.750
Ga: 0.667 0.333 0.250
Ga: 0.333 0.667 0.750
O: 0.645 0.638 0.141
O: 0.993 0.355 0.141
O: 0.355 0.993 0.641
O: 0.007 0.645 0.859
O: 0.362 0.355 0.359
O: 0.993 0.638 0.359
O: 0.638 0.993 0.859
O: 0.645 0.007 0.359
O: 0.007 0.362 0.641
O: 0.362 0.007 0.141
O: 0.638 0.645 0.641
O: 0.355 0.362 0.859

E_form (uncorrected): -2.531 eV per atom
Total moment: 2.00 μB/f.u.

***

no.,density of states at the Fermi level (states/eV per cell),mass density (kg/m³)
1,0.00,5757
2,0.00,7263
3,0.00,7439
4,6.27,4422
5,0.00,5912
6,2.10,6438
7,1.45,7342
8,1.43,7423
9,6.78,6367
10,1.52,7032
11,3.86,8181
12,15.29,7196